First-principles (PBE) data for an optimized crystal structure of TiCu3H, as listed in Alexandria via LeMat-Bulk.

Cell lengths 3.8385, 3.8385, 3.8385 Å; angles 90.00, 90.00, 90.00 degrees
Closest atoms and distances in Å follow each position.
Atoms (fractional coordinates):
Ti (0.0000, 0.0000, 0.0000)  12 Cu 2.71
Cu (0.0000, 0.5000, 0.5000)  2 H 1.92
Cu (0.5000, 0.0000, 0.5000)  2 H 1.92
Cu (0.5000, 0.5000, 0.0000)  2 H 1.92
H (0.5000, 0.5000, 0.5000)  6 Cu 1.92

Output
Spin magnetization in μB per atom: 0.281
Offset from the most stable computed form in kJ/mol of atoms: 0.0

First-principles (PBE) data for an optimized crystal structure of Ti3CuH, as listed in Alexandria via LeMat-Bulk.

Cell lengths 6.8963, 6.8963, 2.8954 Å; angles 90.00, 90.00, 104.00 degrees
Closest atoms and distances in Å follow each position.
Atoms (fractional coordinates):
Ti (0.1671, 0.4212, 0.5000)  2 H 2.01
Ti (0.2167, 0.7833, 0.0000)  2 H 2.15
Ti (0.4212, 0.1671, 0.5000)  2 H 2.01
Ti (0.5788, 0.8329, 0.5000)  2 H 2.01
Ti (0.7833, 0.2167, 0.0000)  2 H 2.15
Ti (0.8329, 0.5788, 0.5000)  2 H 2.01
Cu (0.0000, 0.0000, 0.5000)  8 Ti 2.76-2.85, 2 Cu 2.90
Cu (0.5000, 0.5000, 0.0000)  8 Ti 2.66, 2 Cu 2.90
H (0.0000, 0.5000, 0.0000)  6 Ti 2.01-2.15
H (0.5000, 0.0000, 0.0000)  6 Ti 2.01-2.15

Output
Spin magnetization in μB per atom: 0.000
Offset from the most stable computed form in kJ/mol of atoms: 8.9

First-principles (PBE) data for an optimized crystal structure of TiCuH3, as listed in Alexandria via LeMat-Bulk.

Cell lengths 3.4935, 3.4935, 3.4935 Å; angles 90.00, 90.00, 90.00 degrees
Closest atoms and distances in Å follow each position.
Atoms (fractional coordinates):
Ti (0.0000, 0.0000, 0.0000)  6 H 1.75
Cu (0.5000, 0.5000, 0.5000)  12 H 2.47
H (0.0000, 0.0000, 0.5000)  2 Ti 1.75
H (0.0000, 0.5000, 0.0000)  2 Ti 1.75
H (0.5000, 0.0000, 0.0000)  2 Ti 1.75

Output
Spin magnetization in μB per atom: 0.000
Raw total energy in eV for the cell shown: -21.319

First-principles (PBE) data for an optimized crystal structure of Ti3CuH3, as listed in Alexandria via LeMat-Bulk.

Cell lengths 6.9673, 6.9673, 6.9673 Å; angles 44.81, 44.81, 44.81 degrees
Closest atoms and distances in Å follow each position.
Atoms (fractional coordinates):
Ti (0.0844, 0.4037, 0.7217)  4 H 1.89-1.93
Ti (0.2783, 0.9156, 0.5963)  4 H 1.89-1.93
Ti (0.4037, 0.7217, 0.0844)  4 H 1.89-1.93
Ti (0.5963, 0.2783, 0.9156)  4 H 1.89-1.93
Ti (0.7217, 0.0844, 0.4037)  4 H 1.89-1.93
Ti (0.9156, 0.5963, 0.2783)  4 H 1.89-1.93
Cu (0.1666, 0.1666, 0.1666)  6 Ti 2.56
Cu (0.8334, 0.8334, 0.8334)  6 Ti 2.56
H (0.0221, 0.7101, 0.3666)  4 Ti 1.89-1.93
H (0.2899, 0.6334, 0.9779)  4 Ti 1.89-1.93
H (0.3666, 0.0221, 0.7101)  4 Ti 1.89-1.93
H (0.6334, 0.9779, 0.2899)  4 Ti 1.89-1.93
H (0.7101, 0.3666, 0.0221)  4 Ti 1.89-1.93
H (0.9779, 0.2899, 0.6334)  4 Ti 1.89-1.93

Output
Spin magnetization in μB per atom: 0.000
Offset from the most stable computed form in kJ/mol of atoms: 14.7

First-principles (PBE) data for an optimized crystal structure of TiCuH, as listed in Alexandria via LeMat-Bulk.

Cell lengths 3.6476, 3.6476, 19.4414 Å; angles 90.00, 90.00, 90.00 degrees
Closest atoms and distances in Å follow each position.
Atoms (fractional coordinates):
Ti (0.2490, 0.2502, 0.1796)  3 H 1.96-2.03
Ti (0.2490, 0.7498, 0.3204)  3 H 1.96-2.03
Ti (0.2502, 0.2490, 0.5704)  3 H 1.96-2.03
Ti (0.2502, 0.7510, 0.9296)  3 H 1.96-2.03
Ti (0.7498, 0.2490, 0.4296)  3 H 1.96-2.03
Ti (0.7498, 0.7510, 0.0704)  3 H 1.96-2.03
Ti (0.7510, 0.2502, 0.8204)  3 H 1.96-2.03
Ti (0.7510, 0.7498, 0.6796)  3 H 1.96-2.03
Cu (0.2500, 0.2510, 0.0434)  2 H 1.83
Cu (0.2500, 0.7490, 0.4566)  2 H 1.83
Cu (0.2510, 0.2500, 0.7066)  2 H 1.83
Cu (0.2510, 0.7500, 0.7934)  2 H 1.83
Cu (0.7490, 0.2500, 0.2934)  2 H 1.83
Cu (0.7490, 0.7500, 0.2066)  2 H 1.83
Cu (0.7500, 0.2510, 0.9566)  2 H 1.83
Cu (0.7500, 0.7490, 0.5434)  2 H 1.83
H (0.2490, 0.2498, 0.2840)  2 Cu 1.83, 3 Ti 1.96-2.03
H (0.2490, 0.7502, 0.2160)  2 Cu 1.83, 3 Ti 1.96-2.03
H (0.2498, 0.2490, 0.4660)  2 Cu 1.83, 3 Ti 1.96-2.03
H (0.2498, 0.7510, 0.0340)  2 Cu 1.83, 3 Ti 1.96-2.03
H (0.7502, 0.2490, 0.5340)  2 Cu 1.83, 3 Ti 1.96-2.03
H (0.7502, 0.7510, 0.9660)  2 Cu 1.83, 3 Ti 1.96-2.03
H (0.7510, 0.2498, 0.7160)  2 Cu 1.83, 3 Ti 1.96-2.03
H (0.7510, 0.7502, 0.7840)  2 Cu 1.83, 3 Ti 1.96-2.03

Output
Spin magnetization in μB per atom: 0.000
Offset from the most stable computed form in kJ/mol of atoms: 13.3

First-principles (PBE) data for an optimized crystal structure of Ti2CuH, as listed in Alexandria via LeMat-Bulk.

Cell lengths 6.7977, 6.7977, 6.7977 Å; angles 24.86, 24.86, 24.86 degrees
Closest atoms and distances in Å follow each position.
Atoms (fractional coordinates):
Ti (0.0000, 0.0000, 0.0000)  3 H 2.08
Ti (0.2134, 0.2134, 0.2134)  3 H 2.05
Cu (0.4404, 0.4404, 0.4404)  6 Ti 2.70-2.71, 6 Cu 2.93
H (0.6057, 0.6057, 0.6057)  6 Ti 2.05-2.08

Output
Spin magnetization in μB per atom: 0.000
Raw total energy in eV for the cell shown: -23.581

First-principles (PBE) data for an optimized crystal structure of Ti2CuH, as listed in Alexandria via LeMat-Bulk.

Cell lengths 2.7304, 2.7304, 6.4068 Å; angles 90.00, 90.00, 90.00 degrees
Closest atoms and distances in Å follow each position.
Atoms (fractional coordinates):
Ti (0.0000, 0.0000, 0.2011)  4 H 2.32, 1 Ti 2.58
Ti (0.0000, 0.0000, 0.7989)  4 H 2.32, 1 Ti 2.58
Cu (0.5000, 0.5000, 0.5000)  8 Ti 2.72, 4 Cu 2.73
H (0.5000, 0.5000, 0.0000)  8 Ti 2.32

Output
Spin magnetization in μB per atom: 0.189
Raw total energy in eV for the cell shown: -22.927

First-principles (PBE) data for an optimized crystal structure of Ti3CuH3, as listed in Alexandria via LeMat-Bulk.

Cell lengths 5.2346, 5.2346, 5.2346 Å; angles 90.00, 90.00, 90.00 degrees
Closest atoms and distances in Å follow each position.
Atoms (fractional coordinates):
Ti (0.0000, 0.2500, 0.5000)  4 H 1.85
Ti (0.0000, 0.7500, 0.5000)  4 H 1.85
Ti (0.2500, 0.5000, 0.0000)  4 H 1.85
Ti (0.5000, 0.0000, 0.2500)  4 H 1.85
Ti (0.5000, 0.0000, 0.7500)  4 H 1.85
Ti (0.7500, 0.5000, 0.0000)  4 H 1.85
Cu (0.0000, 0.0000, 0.0000)  12 H 2.93, 12 Ti 2.93
Cu (0.5000, 0.5000, 0.5000)  12 H 2.93, 12 Ti 2.93
H (0.0000, 0.5000, 0.2500)  4 Ti 1.85
H (0.0000, 0.5000, 0.7500)  4 Ti 1.85
H (0.2500, 0.0000, 0.5000)  4 Ti 1.85
H (0.5000, 0.2500, 0.0000)  4 Ti 1.85
H (0.5000, 0.7500, 0.0000)  4 Ti 1.85
H (0.7500, 0.0000, 0.5000)  4 Ti 1.85

Output
Spin magnetization in μB per atom: 0.000
Offset from the most stable computed form in kJ/mol of atoms: 0.0

First-principles (PBE) data for an optimized crystal structure of TiCu2H, as listed in Alexandria via LeMat-Bulk.

Cell lengths 5.1339, 5.1339, 5.1339 Å; angles 60.00, 60.00, 60.00 degrees
Closest atoms and distances in Å follow each position.
Atoms (fractional coordinates):
Ti (0.1250, 0.1250, 0.1250)  12 Cu 3.01, 4 H 3.14, 4 Ti 3.14
Ti (0.8750, 0.8750, 0.8750)  12 Cu 3.01, 4 H 3.14, 4 Ti 3.14
Cu (0.0000, 0.5000, 0.5000)  2 H 1.57
Cu (0.5000, 0.0000, 0.5000)  2 H 1.57
Cu (0.5000, 0.5000, 0.0000)  2 H 1.57
Cu (0.5000, 0.5000, 0.5000)  2 H 1.57
H (0.3750, 0.3750, 0.3750)  4 Cu 1.57
H (0.6250, 0.6250, 0.6250)  4 Cu 1.57

Output
Spin magnetization in μB per atom: 0.449
Offset from the most stable computed form in kJ/mol of atoms: 0.0

First-principles (PBE) data for an optimized crystal structure of TiCuH, as listed in Alexandria via LeMat-Bulk.

Cell lengths 5.1677, 5.1677, 5.1677 Å; angles 150.33, 150.33, 42.46 degrees
Closest atoms and distances in Å follow each position.
Atoms (fractional coordinates):
Ti (0.0000, 0.0000, 0.0000)  4 H 1.96
Cu (0.2887, 0.2887, 0.0000)  5 H 2.61-2.89, 4 Cu 2.65, 5 Ti 2.77-2.78
H (0.5600, 0.5600, 0.0000)  4 Ti 1.96

Output
Spin magnetization in μB per atom: 0.000
Offset from the most stable computed form in kJ/mol of atoms: 23.9